(1)
VASP calculation (PBE) on an optimized crystal structure of Ca5Ag2Bi.

abc: 9.4415 9.4415 9.4415
angles: 129.02 129.02 74.97
Fractional positions:
Ca1 0.0000 0.0000 0.0000
Ca2 0.0258 0.5258 0.8346
Ca3 0.1912 0.0258 0.5000
Ca4 0.3088 0.8088 0.8346
Ca5 0.4742 0.3088 0.5000
Ca6 0.5000 0.5000 0.0000
Ca7 0.5258 0.6912 0.5000
Ca8 0.6912 0.1912 0.1654
Ca9 0.8088 0.9742 0.5000
Ca10 0.9742 0.4742 0.1654
Ag1 0.1259 0.3741 0.5000
Ag2 0.3741 0.8741 0.2482
Ag3 0.6259 0.1259 0.7518
Ag4 0.8741 0.6259 0.5000
Bi1 0.2500 0.2500 0.0000
Bi2 0.7500 0.7500 0.0000

Summary:
VASP energy: -46.400 eV/cell
Space-group type: I4/mcm (140)



(2)
VASP calculation (PBE) on an optimized crystal structure of NaAu2Cl6.

abc: 8.7200 8.7200 8.8692
angles: 104.71 104.71 100.02
Fractional positions:
Na1 0.2232 0.7768 0.7500
Na2 0.7768 0.2232 0.2500
Au1 0.2079 0.2124 0.6536
Au2 0.2124 0.2079 0.1536
Au3 0.7876 0.7921 0.8464
Au4 0.7921 0.7876 0.3464
Cl1 0.0509 0.7839 0.9871
Cl2 0.1465 0.2955 0.4071
Cl3 0.1848 0.4672 0.7954
Cl4 0.2161 0.9491 0.5129
Cl5 0.2955 0.1465 0.9071
Cl6 0.4672 0.1848 0.2954
Cl7 0.5328 0.8152 0.7046
Cl8 0.7045 0.8535 0.0929
Cl9 0.7839 0.0509 0.4871
Cl10 0.8152 0.5328 0.2046
Cl11 0.8535 0.7045 0.5929
Cl12 0.9491 0.2161 0.0129

Summary:
ΔE_f (raw): -0.563 eV per atom
Space-group type: C2/c (15)



(3)
VASP calculation (PBE) on an optimized crystal structure of Ac5AgHg2.

abc: 9.3906 9.3906 9.3906
angles: 121.18 121.18 87.97
Fractional positions:
Ac1 0.0000 0.0000 0.0000
Ac2 0.0064 0.5064 0.8096
Ac3 0.1968 0.0064 0.5000
Ac4 0.3032 0.8032 0.8096
Ac5 0.4936 0.3032 0.5000
Ac6 0.5000 0.5000 0.0000
Ac7 0.5064 0.6968 0.5000
Ac8 0.6968 0.1968 0.1904
Ac9 0.8032 0.9936 0.5000
Ac10 0.9936 0.4936 0.1904
Ag1 0.2500 0.2500 0.0000
Ag2 0.7500 0.7500 0.0000
Hg1 0.1385 0.3615 0.5000
Hg2 0.3615 0.8615 0.2230
Hg3 0.6385 0.1385 0.7770
Hg4 0.8615 0.6385 0.5000

Summary:
VASP energy: -51.923 eV/cell
Space-group type: I4/mcm (140)



(4)
VASP calculation (PBE) on an optimized crystal structure of KIr2Au.

abc: 6.1210 6.1210 4.9861
angles: 113.02 113.02 25.84
Fractional positions:
K1 0.0000 0.0000 0.0000
Ir1 0.2266 0.2266 0.7084
Ir2 0.7734 0.7734 0.2916
Au1 0.5000 0.5000 0.5000

Summary:
Polymorph energy (0 for the lowest one): 284 meV/atom
Space-group type: C2/m (12)



(5)
VASP calculation (PBE) on an optimized crystal structure of La2Ga3Cu4Ge.

abc: 4.3251 4.3251 9.9854
angles: 90.00 90.00 90.00
Fractional positions:
La1 0.0000 0.5000 0.2484
La2 0.5000 0.0000 0.7516
Ga1 0.0000 0.5000 0.8745
Ga2 0.5000 0.0000 0.1255
Ga3 0.5000 0.5000 0.5000
Cu1 0.0000 0.0000 0.0000
Cu2 0.0000 0.5000 0.6278
Cu3 0.5000 0.0000 0.3722
Cu4 0.5000 0.5000 0.0000
Ge1 0.0000 0.0000 0.5000

Summary:
VASP energy: -44.513 eV/cell
Space-group type: P-4m2 (115)



(6)
VASP calculation (PBE) on an optimized crystal structure of PaGaPt.

abc: 6.3692 6.3692 6.3692
angles: 144.07 125.93 66.64
Fractional positions:
Pa1 0.1753 0.1753 0.0000
Pa2 0.8247 0.8247 0.0000
Ga1 0.3806 0.8806 0.5000
Ga2 0.6194 0.1194 0.5000
Pt1 0.2461 0.5000 0.7461
Pt2 0.7539 0.5000 0.2539

Summary:
VASP energy: -40.736 eV/cell
Space-group type: Immm (71)



| no. | DOS at the Fermi energy (states/eV/atom) |
| --- | --- |
| 1 | 0.591 |
| 2 | 0.499 |
| 3 | 1.186 |
| 4 | 1.181 |
| 5 | 0.599 |
| 6 | 0.898 |